Density functional theory data (PBE+U) for a relaxed structure of NiSbO2.

Computed properties:
* ρ: 5.27 g cm⁻³
* energy: -39.2 eV for the cell shown

Lattice parameters (Å, degrees): 4.895 5.531 5.780 92.10 107.08 114.47
Element x y z (fractional)
Ni1 0.000 0.000 0.000
Ni2 0.313 0.453 0.523
Sb1 0.185 0.640 0.878
Sb2 0.740 0.082 0.419
O1 0.353 0.135 0.331
O2 0.636 0.801 0.136
O3 0.681 0.822 0.647
O4 0.967 0.343 0.026